1.
The following is a PBE-GGA calculation of NaSr7Ga2 after structural relaxation, from Alexandria via LeMat-Bulk.

abc: 5.6013 5.6013 14.5377
angles: 101.11 101.11 90.00
Last column: nearest neighbours and their distance in Å.
Fractional coordinates of all 10 atoms:
1 Sr 0.3849 0.8849 0.7698  2 Ga 3.30
2 Ga 0.3223 0.3223 0.6446  8 Sr 3.30-3.45
3 Sr 0.5000 0.5000 0.0000  4 Na 3.96, 8 Sr 4.27
4 Sr 0.7500 0.2500 0.5000  4 Ga 3.45, 2 Sr 3.77
5 Sr 0.2500 0.7500 0.5000  4 Ga 3.45, 2 Sr 3.77
6 Sr 0.8849 0.3849 0.7698  2 Ga 3.30
7 Sr 0.6151 0.1151 0.2302  2 Ga 3.30
8 Ga 0.6777 0.6777 0.3554  8 Sr 3.30-3.45
9 Na 0.0000 0.0000 0.0000  12 Sr 3.96-4.27
10 Sr 0.1151 0.6151 0.2302  2 Ga 3.30

Computed properties:
Density of states at the Fermi level (states/eV per atom): 1.3077
M_tot (μB/cell): 0.00
Uncorrected energy (eV per formula unit): -20.2
Symmetry: I4/mmm

2.
The following is a PBE-GGA calculation of CaSmBiO after structural relaxation, from Alexandria via LeMat-Bulk.

abc: 4.6801 4.6801 8.9818
angles: 90.00 90.00 90.00
Last column: nearest neighbours and their distance in Å.
Fractional coordinates of all 8 atoms:
1 O 0.5000 0.0000 0.5728  1 Ca 2.34, 4 Sm 2.43
2 Ca 0.0000 0.5000 0.1664  1 O 2.34
3 Sm 0.0000 0.0000 0.5000  4 O 2.43
4 O 0.0000 0.5000 0.4272  1 Ca 2.34, 4 Sm 2.43
5 Bi 0.0000 0.5000 0.7965  1 O 3.32, 5 Ca 3.32-3.33, 4 Sm 3.55
6 Sm 0.5000 0.5000 0.5000  4 O 2.43
7 Bi 0.5000 0.0000 0.2035  1 O 3.32, 5 Ca 3.32-3.33, 4 Sm 3.55
8 Ca 0.5000 0.0000 0.8336  1 O 2.34

Computed properties:
Density of states at the Fermi level (states/eV per atom): 0.2139
M_tot (μB/cell): 0.00
Energy relative to the elements, uncorrected (meV per atom): -1919
Symmetry: P4/nmm

3.
The following is a PBE-GGA calculation of EuLuPtAu after structural relaxation, from Alexandria via LeMat-Bulk.

abc: 5.0346 5.0346 5.0346
angles: 60.00 60.00 60.00
Last column: nearest neighbours and their distance in Å.
Fractional coordinates of all 4 atoms:
1 Pt 0.2500 0.2500 0.2500  4 Lu 3.08, 4 Eu 3.08
2 Au 0.7500 0.7500 0.7500  4 Lu 3.08, 4 Eu 3.08
3 Eu 0.0000 0.0000 0.0000  4 Pt 3.08, 4 Au 3.08
4 Lu 0.5000 0.5000 0.5000  4 Au 3.08, 4 Pt 3.08

Computed properties:
Density of states at the Fermi level (states/eV per atom): 2.0731
M_tot (μB/cell): 7.04
Uncorrected energy (eV per formula unit): -27.7
Symmetry: F-43m

4.
The following is a PBE-GGA calculation of BaAlPt2 after structural relaxation, from Alexandria via LeMat-Bulk.

abc: 5.1778 5.1778 3.1943
angles: 89.97 89.97 89.96
Last column: nearest neighbours and their distance in Å.
Fractional coordinates of all 4 atoms:
1 Ba 0.0000 0.5000 0.5000  8 Pt 3.04, 2 Ba 3.19
2 Pt 0.0000 0.0000 0.0000  4 Al 3.04, 4 Ba 3.04, 2 Pt 3.19
3 Al 0.5000 0.0000 0.5000  8 Pt 3.04, 2 Al 3.19
4 Pt 0.5000 0.5000 0.0000  4 Ba 3.04, 4 Al 3.04, 2 Pt 3.19

Computed properties:
Density of states at the Fermi level (states/eV per atom): 0.3949
M_tot (μB/cell): 0.00
Uncorrected energy (eV per formula unit): -18.6
Symmetry: P4/mmm